Density functional theory data (PBE) for crystalline BaMgPb2 at its relaxed geometry.

Computed properties:
DFT total energy = -2.82 eV/atom
Formation energy = -0.09 eV per atom
Space-group type = R-3m

Lattice parameters (Å, degrees): 10.823 10.823 10.823 20.28 20.28 20.28
Fractional coordinates of all 4 atoms:
Ba (0.250, 0.250, 0.250)
Mg (0.750, 0.750, 0.750)
Pb (0.011, 0.011, 0.011)
Pb (0.489, 0.489, 0.489)

Density functional theory data (PBE) for crystalline BaMgPb2 at its relaxed geometry.

Computed properties:
DFT total energy = -2.93 eV/atom
Formation energy = -0.19 eV per atom
Space-group type = F-43m

Lattice parameters (Å, degrees): 5.760 5.760 5.760 60.00 60.00 60.00
Fractional coordinates of all 4 atoms:
Ba (0.500, 0.500, 0.500)
Mg (0.750, 0.750, 0.750)
Pb (0.000, 0.000, 0.000)
Pb (0.250, 0.250, 0.250)

Density functional theory data (PBE) for crystalline BaMgPb at its relaxed geometry.

Computed properties:
DFT total energy = -2.64 eV/atom
Formation energy = -0.23 eV per atom
Space-group type = I4mm

Lattice parameters (Å, degrees): 7.144 7.144 7.144 147.74 147.66 46.33
Fractional coordinates of all 3 atoms:
Ba (0.999, 0.999, 0.000)
Mg (0.694, 0.694, 0.000)
Pb (0.307, 0.307, 0.000)

Density functional theory data (PBE) for crystalline BaMgPb at its relaxed geometry.

Computed properties:
DFT total energy = -2.79 eV/atom
Formation energy = -0.38 eV per atom
Space-group type = P-6m2

Lattice parameters (Å, degrees): 5.005 5.005 5.142 90.00 90.00 120.00
Fractional coordinates of all 3 atoms:
Ba (0.000, 0.000, 0.000)
Mg (0.667, 0.333, 0.499)
Pb (0.333, 0.667, 0.500)

Density functional theory data (PBE) for crystalline Ba2MgPb at its relaxed geometry.

Computed properties:
DFT total energy = -2.60 eV/atom
Formation energy = -0.31 eV per atom
Space-group type = Pm

Lattice parameters (Å, degrees): 5.963 4.215 6.303 90.04 90.00 90.00
Fractional coordinates of all 4 atoms:
Ba (0.000, 0.126, 0.916)
Ba (0.500, 0.124, 0.332)
Mg (0.000, 0.625, 0.440)
Pb (0.500, 0.625, 0.811)

Density functional theory data (PBE) for crystalline Ba2MgPb at its relaxed geometry.

Computed properties:
DFT total energy = -2.58 eV/atom
Formation energy = -0.29 eV per atom
Space-group type = Pmmm

Lattice parameters (Å, degrees): 4.395 4.260 9.748 64.05 90.00 90.00
Fractional coordinates of all 4 atoms:
Ba (0.000, 0.010, 0.990)
Ba (0.000, 0.490, 0.510)
Mg (0.500, 0.250, 0.250)
Pb (0.500, 0.750, 0.750)

Density functional theory data (PBE) for crystalline BaMgPb2 at its relaxed geometry.

Computed properties:
DFT total energy = -3.03 eV/atom
Formation energy = -0.30 eV per atom
Space-group type = P-3m1

Lattice parameters (Å, degrees): 4.899 4.899 14.063 90.00 90.00 120.00
Fractional coordinates of all 8 atoms:
Ba (0.000, 0.000, 0.200)
Ba (0.000, 0.000, 0.800)
Mg (0.667, 0.333, 0.431)
Mg (0.333, 0.667, 0.569)
Pb (0.333, 0.667, 0.356)
Pb (0.667, 0.333, 0.644)
Pb (0.667, 0.333, 0.045)
Pb (0.333, 0.667, 0.955)

Density functional theory data (PBE) for crystalline BaMgPb2 at its relaxed geometry.

Computed properties:
DFT total energy = -2.89 eV/atom
Formation energy = -0.16 eV per atom
Space-group type = I-42d

Lattice parameters (Å, degrees): 5.548 5.548 10.850 75.19 75.19 90.00
Fractional coordinates of all 8 atoms:
Pb (0.530, 0.125, 0.250)
Pb (0.220, 0.625, 0.250)
Pb (0.375, 0.470, 0.750)
Pb (0.875, 0.780, 0.750)
Mg (0.500, 0.500, 0.000)
Mg (0.250, 0.750, 0.500)
Ba (0.000, 0.000, 0.000)
Ba (0.750, 0.250, 0.500)

Density functional theory data (PBE) for crystalline BaMg2Pb2 at its relaxed geometry.

Computed properties:
Excess energy over the best structure of this formula in the dataset = 15 meV/atom
DFT total energy = -2.87 eV/atom
Formation energy = -0.37 eV per atom
Space-group type = I4/mmm

Lattice parameters (Å, degrees): 4.927 4.927 7.418 70.60 70.60 90.00
Fractional coordinates of all 5 atoms:
Pb (0.381, 0.381, 0.239)
Pb (0.619, 0.619, 0.761)
Mg (0.750, 0.250, 0.500)
Mg (0.250, 0.750, 0.500)
Ba (0.000, 0.000, 0.000)

Density functional theory data (PBE) for crystalline BaMg2Pb8 at its relaxed geometry.

Computed properties:
DFT total energy = -3.10 eV/atom
Formation energy = 0.06 eV per atom
Space-group type = P4/mmm

Lattice parameters (Å, degrees): 7.008 7.008 8.569 90.00 90.00 90.00
Fractional coordinates of all 11 atoms:
Ba (0.500, 0.500, 0.500)
Mg (0.500, 0.000, 0.000)
Mg (0.000, 0.500, 0.000)
Pb (0.757, 0.757, 0.200)
Pb (0.757, 0.243, 0.800)
Pb (0.757, 0.757, 0.800)
Pb (0.757, 0.243, 0.200)
Pb (0.243, 0.757, 0.200)
Pb (0.243, 0.757, 0.800)
Pb (0.243, 0.243, 0.200)
Pb (0.243, 0.243, 0.800)

Density functional theory data (PBE) for crystalline BaMg2Pb2 at its relaxed geometry.

Computed properties:
Excess energy over the best structure of this formula in the dataset = 215 meV/atom
DFT total energy = -2.67 eV/atom
Formation energy = -0.17 eV per atom
Space-group type = P4/mbm

Lattice parameters (Å, degrees): 9.229 9.229 3.619 90.00 90.00 90.00
Each line ends with the local moment (μB).
Fractional coordinates of all 10 atoms:
Pb (0.355, 0.855, 0.000)  0.00
Pb (0.855, 0.645, 0.000)  0.00
Pb (0.645, 0.145, 0.000)  0.00
Pb (0.145, 0.355, 0.000)  0.00
Mg (0.144, 0.644, 0.500)  0.00
Mg (0.644, 0.856, 0.500)  0.00
Mg (0.856, 0.356, 0.500)  0.00
Mg (0.356, 0.144, 0.500)  0.00
Ba (0.000, 0.000, 0.000)  0.07
Ba (0.500, 0.500, 0.000)  0.07

Density functional theory data (PBE) for crystalline Ba2Mg3Pb4 at its relaxed geometry.

Computed properties:
DFT total energy = -2.93 eV/atom
Formation energy = -0.32 eV per atom
Space-group type = Cmce

Lattice parameters (Å, degrees): 6.920 9.088 9.749 90.00 110.79 90.00
Fractional coordinates of all 18 atoms:
Ba (0.109, 0.593, 0.219)
Ba (0.891, 0.407, 0.781)
Ba (0.391, 0.093, 0.781)
Ba (0.609, 0.907, 0.219)
Mg (0.000, 0.000, 0.000)
Mg (0.500, 0.500, 0.000)
Mg (0.528, 0.750, 0.557)
Mg (0.972, 0.250, 0.443)
Mg (0.472, 0.250, 0.443)
Mg (0.028, 0.750, 0.557)
Pb (0.693, 0.750, 0.886)
Pb (0.807, 0.250, 0.114)
Pb (0.307, 0.250, 0.114)
Pb (0.193, 0.750, 0.886)
Pb (0.183, 0.978, 0.367)
Pb (0.817, 0.022, 0.633)
Pb (0.317, 0.478, 0.633)
Pb (0.683, 0.522, 0.367)